# SiGeRh3 | the Alexandria database | PBE-GGA | relaxed
# ΔE_f (raw)   695 meV per atom
# Final energy   -28.622 eV/cell
# SG   Pm-3m (221)
data_SiGeRh3
_cell_length_a 4.5077
_cell_length_b 4.5077
_cell_length_c 4.5077
_cell_angle_alpha 90.00
_cell_angle_beta 90.00
_cell_angle_gamma 90.00
_space_group_name_H-M_alt 'P 1'
_space_group_IT_number 1
loop_
_space_group_symop_operation_xyz
'x,y,z'
loop_
_atom_site_label
_atom_site_type_symbol
_atom_site_fract_x
_atom_site_fract_y
_atom_site_fract_z
_atom_site_occupancy
Si1 Si 0.0000 0.0000 0.0000 1
Ge1 Ge 0.5000 0.5000 0.5000 1
Rh1 Rh 0.0000 0.5000 0.5000 1
Rh2 Rh 0.5000 0.0000 0.5000 1
Rh3 Rh 0.5000 0.5000 0.0000 1

***

# BaBeOs2 | the Alexandria database | PBE-GGA | relaxed
# DFT formation energy   0.528 eV/atom
# Final energy   -25.996 eV/cell
# SG   P4mm (99)
data_BaBeOs2
_cell_length_a 3.0021
_cell_length_b 3.0021
_cell_length_c 8.0254
_cell_angle_alpha 90.00
_cell_angle_beta 90.00
_cell_angle_gamma 90.00
_space_group_name_H-M_alt 'P 1'
_space_group_IT_number 1
loop_
_space_group_symop_operation_xyz
'x,y,z'
loop_
_atom_site_label
_atom_site_type_symbol
_atom_site_fract_x
_atom_site_fract_y
_atom_site_fract_z
_atom_site_occupancy
Ba1 Ba 0.0000 0.0000 0.0000 1
Be1 Be 0.5000 0.5000 0.3338 1
Os1 Os 0.0000 0.0000 0.4701 1
Os2 Os 0.5000 0.5000 0.6678 1

***

# Y2TmO | the Alexandria database | PBE-GGA | relaxed
# ΔE_f (raw)   -1349 meV per atom
# Final energy   -27.752 eV/cell
# SG   R-3m (166)
data_Y2TmO
_cell_length_a 8.8694
_cell_length_b 8.8694
_cell_length_c 8.8694
_cell_angle_alpha 22.95
_cell_angle_beta 22.95
_cell_angle_gamma 22.95
_space_group_name_H-M_alt 'P 1'
_space_group_IT_number 1
loop_
_space_group_symop_operation_xyz
'x,y,z'
loop_
_atom_site_label
_atom_site_type_symbol
_atom_site_fract_x
_atom_site_fract_y
_atom_site_fract_z
_atom_site_occupancy
Y1 Y 0.2194 0.2194 0.2194 1
Y2 Y 0.7806 0.7806 0.7806 1
Tm1 Tm 0.0000 0.0000 0.0000 1
O1 O 0.5000 0.5000 0.5000 1